# Ac2MnZnO6

A geometry-optimized Ac2MnZnO6 structure (PBE+U, Alexandria).

As for the energy: -142.7 eV per cell. For the spin magnetization, the calculation gives 2.97 μB per formula unit.

The space group is C2/m (No. 12) and the conventional cell measures 9.7736, 5.6242 and 5.7089 Å, with angles of 90.00, 125.48 and 90.00 degrees. The inequivalent atoms are Ac at (0.2497, 0.0000, 0.2466), Mn at (0.0000, 0.5000, 0.0000), Zn at (0.0000, 0.0000, 0.5000), O at (0.0320, 0.2582, 0.7930) and O at (0.2403, 0.5000, 0.2994).